# Co2CuS4

Co2CuS4 after structural relaxation (PBE, OQMD via LeMat-Bulk).

Values from the calculation:
* uncorrected energy: -5.190 eV/atom
* magnetic moment: 0.00 μB/cell
* space group: No. 91
* volume: 14.96 Å³ per atom

a = 6.6900 Å, b = 6.6900 Å, c = 9.3574 Å
α = 90.00°, β = 90.00°, γ = 90.00°
Last column: nearest neighbours and their distance in Å.
Fractional coordinates of all 28 atoms:
Co 0.0000 0.2506 0.0000  6 S 2.26
Co 0.2458 0.7542 0.1250  4 S 2.11-2.14
Co 0.7494 0.0000 0.2500  6 S 2.26
Co 0.2458 0.2458 0.3750  4 S 2.11-2.14
Co 0.0000 0.7494 0.5000  6 S 2.26
Co 0.7542 0.2458 0.6250  4 S 2.11-2.14
Co 0.2506 0.0000 0.7500  6 S 2.26
Co 0.7542 0.7542 0.8750  4 S 2.11-2.14
Cu 0.5000 0.2527 0.0000  6 S 2.35-2.37
Cu 0.7473 0.5000 0.2500  6 S 2.35-2.37
Cu 0.5000 0.7473 0.5000  6 S 2.35-2.37
Cu 0.2527 0.5000 0.7500  6 S 2.35-2.37
S 0.2380 0.4906 0.0007  2 Co 2.11-2.26, 1 Cu 2.35
S 0.7604 0.0138 0.0086  3 Co 2.14-2.26, 1 Cu 2.37
S 0.9862 0.2396 0.2414  3 Co 2.14-2.26, 1 Cu 2.37
S 0.5094 0.7620 0.2493  2 Co 2.11-2.26, 1 Cu 2.35
S 0.5094 0.2380 0.2507  2 Co 2.11-2.26, 1 Cu 2.35
S 0.9862 0.7604 0.2586  3 Co 2.14-2.26, 1 Cu 2.37
S 0.7604 0.9862 0.4914  3 Co 2.14-2.26, 1 Cu 2.37
S 0.2380 0.5094 0.4993  2 Co 2.11-2.26, 1 Cu 2.35
S 0.7620 0.5094 0.5007  2 Co 2.11-2.26, 1 Cu 2.35
S 0.2396 0.9862 0.5086  3 Co 2.14-2.26, 1 Cu 2.37
S 0.0138 0.7604 0.7414  3 Co 2.14-2.26, 1 Cu 2.37
S 0.4906 0.2380 0.7493  2 Co 2.11-2.26, 1 Cu 2.35
S 0.4906 0.7620 0.7507  2 Co 2.11-2.26, 1 Cu 2.35
S 0.0138 0.2396 0.7586  3 Co 2.14-2.26, 1 Cu 2.37
S 0.2396 0.0138 0.9914  3 Co 2.14-2.26, 1 Cu 2.37
S 0.7620 0.4906 0.9993  2 Co 2.11-2.26, 1 Cu 2.35